This record from Alexandria via LeMat-Bulk describes a relaxed LaAsAu crystal. The functional is PBE.

abc: 4.4554 4.4554 4.2226
angles: 90.00 90.00 120.00
Fractional coordinates of all 3 atoms:
1 La 0.0000 0.0000 0.0000
2 As 0.3333 0.6667 0.4652
3 Au 0.6667 0.3333 0.5439

Summary:
- space group = P3m1 (156)
- VASP energy (eV per cell) = -15.81

---

This record from Alexandria via LeMat-Bulk describes a relaxed Pr4NdSm8 crystal. The functional is PBE.

abc: 7.9449 7.9449 7.9449
angles: 89.64 89.64 89.64
Fractional coordinates of all 13 atoms:
1 Pr 0.0000 0.0000 0.0000
2 Pr 0.0000 0.5000 0.5000
3 Pr 0.5000 0.0000 0.5000
4 Pr 0.5000 0.5000 0.0000
5 Nd 0.5000 0.5000 0.5000
6 Sm 0.2348 0.7600 0.7600
7 Sm 0.2389 0.2389 0.2389
8 Sm 0.2400 0.2400 0.7652
9 Sm 0.2400 0.7652 0.2400
10 Sm 0.7600 0.2348 0.7600
11 Sm 0.7600 0.7600 0.2348
12 Sm 0.7611 0.7611 0.7611
13 Sm 0.7652 0.2400 0.2400

Summary:
- space group = R-3m (166)
- VASP energy (eV per cell) = -55.28